[1]
Density functional theory data (PBE with a Hubbard U) for a geometry-optimized KLiCr2O6 structure.

```
data_KLiCr2O6
_symmetry_space_group_name_H-M 'P 1'
_symmetry_Int_Tables_number 1
_symmetry_space_group_name_Hall 'P 1'
_cell_length_a 5.5298
_cell_length_b 7.7230
_cell_length_c 7.7230
_cell_angle_alpha 93.80
_cell_angle_beta 79.15
_cell_angle_gamma 79.15
loop_
_atom_site_label
_atom_site_type_symbol
_atom_site_fract_x
_atom_site_fract_y
_atom_site_fract_z
_atom_site_occupancy
Li1 Li 0.2500 0.2437 0.7563 1
Li2 Li 0.7500 0.7563 0.2437 1
O1 O 0.2675 0.2486 0.0184 1
O2 O 0.4288 0.7869 0.4106 1
O3 O 0.9288 0.4106 0.7869 1
O4 O 0.7675 0.0184 0.2486 1
O5 O 0.9927 0.7235 0.6333 1
O6 O 0.0073 0.2765 0.3667 1
O7 O 0.2325 0.9816 0.7514 1
O8 O 0.7325 0.7514 0.9816 1
O9 O 0.5712 0.2131 0.5894 1
O10 O 0.0712 0.5894 0.2131 1
O11 O 0.5073 0.3667 0.2765 1
O12 O 0.4927 0.6333 0.7235 1
K1 K 0.2500 0.8880 0.1120 1
K2 K 0.7500 0.1120 0.8880 1
Cr1 Cr 0.7065 0.2098 0.3791 1
Cr2 Cr 0.2065 0.3791 0.2098 1
Cr3 Cr 0.2935 0.7902 0.6209 1
Cr4 Cr 0.7935 0.6209 0.7902 1
```

Summary:
**Total energy**: -126.31 eV for the cell shown



[2]
Density functional theory data (PBE with a Hubbard U) for a geometry-optimized KLiCrO4 structure.

```
data_KLiCrO4
_symmetry_space_group_name_H-M 'P 1'
_symmetry_Int_Tables_number 1
_symmetry_space_group_name_Hall 'P 1'
_cell_length_a 5.2904
_cell_length_b 8.4530
_cell_length_c 19.7949
_cell_angle_alpha 90.00
_cell_angle_beta 90.00
_cell_angle_gamma 90.00
loop_
_atom_site_label
_atom_site_type_symbol
_atom_site_fract_x
_atom_site_fract_y
_atom_site_fract_z
_atom_site_occupancy
Cr1 Cr 0.7531 0.2935 0.6774 1
Cr2 Cr 0.7531 0.7935 0.8226 1
Cr3 Cr 0.2531 0.2065 0.1774 1
Cr4 Cr 0.2466 0.7839 0.5732 1
Cr5 Cr 0.7466 0.7161 0.0732 1
Cr6 Cr 0.7466 0.2161 0.4268 1
Cr7 Cr 0.2531 0.7065 0.3226 1
Cr8 Cr 0.2466 0.2839 0.9268 1
O1 O 0.6148 0.5545 0.0376 1
O2 O 0.6960 0.8683 0.0234 1
O3 O 0.6478 0.9699 0.8479 1
O4 O 0.5647 0.7088 0.3213 1
O5 O 0.5647 0.2088 0.1787 1
O6 O 0.6403 0.7597 0.7450 1
O7 O 0.0615 0.6920 0.0815 1
O8 O 0.0647 0.7912 0.8213 1
O9 O 0.1148 0.4455 0.9624 1
O10 O 0.1403 0.2403 0.2550 1
O11 O 0.1478 0.0301 0.1521 1
O12 O 0.1148 0.9455 0.5376 1
O13 O 0.6454 0.1542 0.6248 1
O14 O 0.1143 0.2523 0.8519 1
O15 O 0.5615 0.3080 0.9185 1
O16 O 0.6143 0.2477 0.3519 1
O17 O 0.1960 0.6317 0.5234 1
O18 O 0.6960 0.3683 0.4766 1
O19 O 0.1403 0.7403 0.2450 1
O20 O 0.6478 0.4699 0.6521 1
O21 O 0.1143 0.7523 0.6481 1
O22 O 0.6143 0.7477 0.1481 1
O23 O 0.6148 0.0545 0.4624 1
O24 O 0.1478 0.5301 0.3479 1
O25 O 0.6403 0.2597 0.7550 1
O26 O 0.1454 0.8458 0.3752 1
O27 O 0.0615 0.1920 0.4185 1
O28 O 0.5615 0.8080 0.5815 1
O29 O 0.0647 0.2912 0.6787 1
O30 O 0.1454 0.3458 0.1248 1
O31 O 0.6454 0.6542 0.8752 1
O32 O 0.1960 0.1317 0.9766 1
Li1 Li 0.2485 0.8053 0.1544 1
Li2 Li 0.2485 0.3053 0.3456 1
Li3 Li 0.7485 0.1947 0.8456 1
Li4 Li 0.7485 0.6947 0.6544 1
Li5 Li 0.2459 0.4996 0.0557 1
Li6 Li 0.7459 0.5004 0.9443 1
Li7 Li 0.7459 0.0004 0.5557 1
Li8 Li 0.2459 0.9996 0.4443 1
K1 K 0.2693 0.8232 0.9486 1
K2 K 0.2693 0.3232 0.5514 1
K3 K 0.7693 0.1768 0.0514 1
K4 K 0.7693 0.6768 0.4486 1
K5 K 0.7928 0.9837 0.2643 1
K6 K 0.2928 0.5163 0.7643 1
K7 K 0.7928 0.4837 0.2357 1
K8 K 0.2928 0.0163 0.7357 1
```

Summary:
**Total energy**: -338.55 eV for the cell shown